The following is a DFT calculation (PBE) of an optimized crystal structure of LaZnSe2N.

Lattice parameters (Å, degrees): 5.1580 5.1580 3.9453 90.00 90.00 90.00
With the nearest neighbours (Å) after each atom.
Fractional positions:
1 La 0.0000 0.0000 0.0000  8 Se 3.25
2 Zn 0.5000 0.5000 0.5000  2 N 1.97
3 Se 0.0000 0.5000 0.5000  2 Zn 2.58
4 Se 0.5000 0.0000 0.5000  2 Zn 2.58
5 N 0.5000 0.5000 0.0000  2 Zn 1.97

Properties
- energy relative to the elements, uncorrected (eV per atom) = -0.36
- space group = P4/mmm (123)

The following is a DFT calculation (PBE) of an optimized crystal structure of Pb4I.

Lattice parameters (Å, degrees): 6.0011 6.0011 6.0011 90.00 90.00 90.00
With the nearest neighbours (Å) after each atom.
Fractional positions:
1 Pb 0.0000 0.0000 0.0000  12 Pb 4.24
2 Pb 0.0000 0.5000 0.5000  2 I 3.00
3 Pb 0.5000 0.0000 0.5000  2 I 3.00
4 Pb 0.5000 0.5000 0.0000  2 I 3.00
5 I 0.5000 0.5000 0.5000  6 Pb 3.00

Properties
- energy relative to the elements, uncorrected (eV per atom) = 0.58
- space group = Pm-3m (221)

The following is a DFT calculation (PBE) of an optimized crystal structure of Mo12Os5N3.

Lattice parameters (Å, degrees): 11.0246 11.0246 2.8436 90.00 90.00 120.00
With the nearest neighbours (Å) after each atom.
Fractional positions:
1 Mo 0.0000 0.4956 0.0000  2 N 2.21
2 Mo 0.0000 0.7973 0.0000  2 N 2.17
3 Mo 0.2027 0.2027 0.0000  2 N 2.17
4 Mo 0.2167 0.7772 0.5000  1 N 2.08
5 Mo 0.2228 0.4396 0.5000  1 N 2.08
6 Mo 0.4396 0.2228 0.5000  1 N 2.08
7 Mo 0.4956 0.0000 0.0000  2 N 2.21
8 Mo 0.5044 0.5044 0.0000  2 N 2.21
9 Mo 0.5604 0.7833 0.5000  1 N 2.08
10 Mo 0.7772 0.2167 0.5000  1 N 2.08
11 Mo 0.7833 0.5604 0.5000  1 N 2.08
12 Mo 0.7973 0.0000 0.0000  2 N 2.17
13 Os 0.0000 0.2534 0.0000  7 Mo 2.56-2.69, 2 Os 2.84
14 Os 0.2534 0.0000 0.0000  7 Mo 2.56-2.69, 2 Os 2.84
15 Os 0.3333 0.6667 0.0000  6 Mo 2.59, 2 Os 2.84
16 Os 0.6667 0.3333 0.0000  6 Mo 2.59, 2 Os 2.84
17 Os 0.7466 0.7466 0.0000  7 Mo 2.56-2.69, 2 Os 2.84
18 N 0.0000 0.6486 0.5000  6 Mo 2.08-2.21
19 N 0.3514 0.3514 0.5000  6 Mo 2.08-2.21
20 N 0.6486 0.0000 0.5000  6 Mo 2.08-2.21

Properties
- energy relative to the elements, uncorrected (eV per atom) = 0.26
- space group = P-62m (189)

The following is a DFT calculation (PBE) of an optimized crystal structure of TiSnHg2H.

Lattice parameters (Å, degrees): 5.5654 5.5654 3.4675 90.00 90.00 90.00
With the nearest neighbours (Å) after each atom.
Fractional positions:
1 Ti 0.0000 0.0000 0.0000  2 H 1.73
2 Sn 0.5000 0.5000 0.5000  8 Hg 3.28, 2 Sn 3.47
3 Hg 0.0000 0.5000 0.0000  2 Ti 2.78
4 Hg 0.5000 0.0000 0.0000  2 Ti 2.78
5 H 0.0000 0.0000 0.5000  2 Ti 1.73

Properties
- calculated total energy (eV/cell) = -14.5
- space group = P4/mmm (123)

The following is a DFT calculation (PBE) of an optimized crystal structure of TbGa2Cu.

Lattice parameters (Å, degrees): 5.6732 5.6732 5.6732 42.89 42.89 42.89
With the nearest neighbours (Å) after each atom.
Fractional positions:
1 Tb 0.0000 0.0000 0.0000  8 Ga 3.01-3.31
2 Ga 0.2147 0.2147 0.2147  3 Cu 2.51
3 Ga 0.7853 0.7853 0.7853  3 Cu 2.51
4 Cu 0.5000 0.5000 0.5000  6 Ga 2.51

Properties
- energy of formation (eV per atom) = -0.476
- space group = R-3m (166)

The following is a DFT calculation (PBE) of an optimized crystal structure of Pm5Sb4H.

Lattice parameters (Å, degrees): 7.6581 7.6581 7.6581 99.73 99.73 131.44
With the nearest neighbours (Å) after each atom.
Fractional positions:
1 Pm 0.0000 0.0000 0.0000  1 H 2.35
2 Pm 0.2632 0.6690 0.8004  5 Sb 3.08-3.16, 1 H 3.18
3 Pm 0.4628 0.2632 0.5941  5 Sb 3.08-3.16, 1 H 3.18
4 Pm 0.6690 0.8687 0.4059  5 Sb 3.08-3.16, 1 H 3.18
5 Pm 0.8687 0.4628 0.1996  5 Sb 3.08-3.16, 1 H 3.18
6 Sb 0.1642 0.3640 0.3969  6 Pm 3.08-3.16
7 Sb 0.3640 0.9672 0.1998  6 Pm 3.08-3.16
8 Sb 0.7674 0.1642 0.8002  6 Pm 3.08-3.16
9 Sb 0.9672 0.7674 0.6031  6 Pm 3.08-3.16
10 H 0.6274 0.6274 0.0000  1 Pm 2.35

Properties
- calculated total energy (eV/cell) = -52.9
- space group = I4 (79)